Record 1
A relaxed structure of Al3W. Source: OQMD, functional PBE. Values from VASP.

Quantum ESPRESSO input file:
```
&SYSTEM
  ibrav = 0, nat = 4, ntyp = 2
/
ATOMIC_SPECIES
Al 26.98 Al.upf
W 183.84 W.upf
ATOMIC_POSITIONS crystal
Al 0.000 0.000 0.000
Al 0.250 0.250 0.250
Al 0.750 0.750 0.750
W 0.500 0.500 0.500
CELL_PARAMETERS angstrom
0.000 3.138 3.138
3.138 0.000 3.138
3.138 3.138 0.000
```

Output
* total DFT energy (no corrections): -5.759 eV/atom



Record 2
A relaxed structure of YAl2W. Source: OQMD, functional PBE. Values from VASP.

Quantum ESPRESSO input file:
```
&SYSTEM
  ibrav = 0, nat = 4, ntyp = 3
/
ATOMIC_SPECIES
Y 88.91 Y.upf
Al 26.98 Al.upf
W 183.84 W.upf
ATOMIC_POSITIONS crystal
Y 0.000 0.000 0.000
Al 0.250 0.250 0.250
Al 0.500 0.500 0.500
W 0.750 0.750 0.750
CELL_PARAMETERS angstrom
0.000 3.330 3.330
3.330 0.000 3.330
3.330 3.330 0.000
```

Output
* total DFT energy (no corrections): -6.398 eV/atom



Record 3
A relaxed structure of Y2AlW. Source: OQMD, functional PBE. Values from VASP.

Quantum ESPRESSO input file:
```
&SYSTEM
  ibrav = 0, nat = 4, ntyp = 3
/
ATOMIC_SPECIES
Y 88.91 Y.upf
Al 26.98 Al.upf
W 183.84 W.upf
ATOMIC_POSITIONS crystal
Y 0.000 0.000 0.000
Y 0.250 0.250 0.250
Al 0.500 0.500 0.500
W 0.750 0.750 0.750
CELL_PARAMETERS angstrom
0.000 3.503 3.503
3.503 0.000 3.503
3.503 3.503 0.000
```

Output
* total DFT energy (no corrections): -7.065 eV/atom



Record 4
A relaxed structure of YAlW2. Source: OQMD, functional PBE. Values from VASP.

Quantum ESPRESSO input file:
```
&SYSTEM
  ibrav = 0, nat = 4, ntyp = 3
/
ATOMIC_SPECIES
Y 88.91 Y.upf
Al 26.98 Al.upf
W 183.84 W.upf
ATOMIC_POSITIONS crystal
Y 0.000 0.000 0.000
Al 0.750 0.750 0.750
W 0.250 0.250 0.250
W 0.500 0.500 0.500
CELL_PARAMETERS angstrom
0.000 3.320 3.320
3.320 0.000 3.320
3.320 3.320 0.000
```

Output
* total DFT energy (no corrections): -8.813 eV/atom



no.,total magnetic moment (μB/cell)
1,0.0
2,0.0
3,1.0
4,0.0